Record 1
The following is a PBE calculation of a relaxed BaMo3I crystal, from Alexandria.

Offset from the most stable computed form = 0 meV/atom
Space group = Pm-3m (221)
ΔE_f (raw) = 9.0 eV/f.u.

Cell: 5.0621 5.0621 5.0621 Å, 90.00 90.00 90.00°
With the nearest neighbours (Å) after each atom.
Fractional coordinates of all 5 atoms:
1 Mo 0.0000 0.0000 0.5000  2 I 2.53
2 Mo 0.5000 0.0000 0.0000  2 I 2.53
3 Mo 0.0000 0.5000 0.0000  2 I 2.53
4 Ba 0.5000 0.5000 0.5000  12 Mo 3.58
5 I 0.0000 0.0000 0.0000  6 Mo 2.53

---

Record 2
The following is a PBE calculation of a relaxed BaMo3I crystal, from Alexandria.

Offset from the most stable computed form = 1352 meV/atom
Space group = Pm-3m (221)
ΔE_f (raw) = 15.7 eV/f.u.

Cell: 5.1317 5.1317 5.1317 Å, 90.00 90.00 90.00°
With the nearest neighbours (Å) after each atom.
Fractional coordinates of all 5 atoms:
1 I 0.5000 0.5000 0.5000  12 Mo 3.63
2 Mo 0.0000 0.0000 0.5000  2 Ba 2.57
3 Mo 0.0000 0.5000 0.0000  2 Ba 2.57
4 Mo 0.5000 0.0000 0.0000  2 Ba 2.57
5 Ba 0.0000 0.0000 0.0000  6 Mo 2.57

---

Record 3
The following is a PBE calculation of a relaxed BaMo2I crystal, from Alexandria.

Offset from the most stable computed form = 0 meV/atom
Space group = I-42d (122)
ΔE_f (raw) = 3.7 eV/f.u.

Cell: 4.8124 4.8124 10.4705 Å, 76.71 76.71 90.00°
With the nearest neighbours (Å) after each atom.
Fractional coordinates of all 8 atoms:
1 Mo 0.8750 0.5525 0.7500  2 Mo 2.51, 2 I 2.77
2 Mo 0.3750 0.6975 0.7500  2 Mo 2.51, 2 I 2.77
3 Mo 0.3025 0.1250 0.2500  2 Mo 2.51, 2 I 2.77
4 Mo 0.4475 0.6250 0.2500  2 Mo 2.51, 2 I 2.77
5 I 0.5000 0.5000 0.0000  4 Mo 2.77
6 I 0.2500 0.7500 0.5000  4 Mo 2.77
7 Ba 0.7500 0.2500 0.5000  4 I 3.40, 4 Mo 3.44
8 Ba 0.0000 0.0000 0.0000  4 I 3.40, 4 Mo 3.44

---

Record 4
The following is a PBE calculation of a relaxed BaMoI2N crystal, from Alexandria.

Offset from the most stable computed form = 1478 meV/atom
Space group = P4/mmm (123)
ΔE_f (raw) = 5.6 eV/f.u.

Cell: 6.7078 6.7078 4.5409 Å, 90.00 90.00 90.00°
With the nearest neighbours (Å) after each atom.
Fractional coordinates of all 5 atoms:
1 I 0.5000 0.0000 0.0000  2 Ba 3.35
2 I 0.0000 0.5000 0.0000  2 Ba 3.35
3 Mo 0.5000 0.5000 0.5000  8 I 4.05
4 Ba 0.0000 0.0000 0.0000  2 N 2.27
5 N 0.0000 0.0000 0.5000  2 Ba 2.27

---

Record 5
The following is a PBE calculation of a relaxed BaMoI2N crystal, from Alexandria.

Offset from the most stable computed form = 0 meV/atom
Space group = P4/mmm (123)
ΔE_f (raw) = -1.8 eV/f.u.

Cell: 5.8550 5.8550 3.9546 Å, 90.00 90.00 90.00°
With the nearest neighbours (Å) after each atom.
Fractional coordinates of all 5 atoms:
1 I 0.5000 0.0000 0.0000  2 Mo 2.93
2 I 0.0000 0.5000 0.0000  2 Mo 2.93
3 Ba 0.5000 0.5000 0.5000  8 I 3.53, 2 Ba 3.95
4 N 0.0000 0.0000 0.5000  2 Mo 1.98
5 Mo 0.0000 0.0000 0.0000  2 N 1.98

---

Record 6
The following is a PBE calculation of a relaxed BaMoIN2 crystal, from Alexandria.

Offset from the most stable computed form = 1780 meV/atom
Space group = P4/mmm (123)
ΔE_f (raw) = 9.9 eV/f.u.

Cell: 4.6653 4.6653 7.1915 Å, 90.00 90.00 90.00°
With the nearest neighbours (Å) after each atom.
Fractional coordinates of all 5 atoms:
1 Ba 0.0000 0.0000 0.0000  4 N 2.33
2 I 0.0000 0.0000 0.5000  4 Mo 3.30, 2 Ba 3.60
3 N 0.5000 0.0000 0.0000  2 Ba 2.33
4 N 0.0000 0.5000 0.0000  2 Ba 2.33
5 Mo 0.5000 0.5000 0.5000  4 I 3.30

---

Record 7
The following is a PBE calculation of a relaxed BaMoIN2 crystal, from Alexandria.

Offset from the most stable computed form = 0 meV/atom
Space group = P4/mmm (123)
ΔE_f (raw) = 1.0 eV/f.u.

Cell: 4.3014 4.3014 5.5560 Å, 90.00 90.00 90.00°
With the nearest neighbours (Å) after each atom.
Fractional coordinates of all 5 atoms:
1 N 0.0000 0.5000 0.0000  2 Mo 2.15
2 N 0.5000 0.0000 0.0000  2 Mo 2.15
3 I 0.0000 0.0000 0.5000  2 Mo 2.78, 4 Ba 3.04
4 Mo 0.0000 0.0000 0.0000  4 N 2.15
5 Ba 0.5000 0.5000 0.5000  4 I 3.04

---

Record 8
The following is a PBE calculation of a relaxed BaNbMoI2 crystal, from Alexandria.

Space group = P4/mmm (123)
ΔE_f (raw) = 2.2 eV/f.u.

Cell: 5.7707 4.7833 5.7707 Å, 90.00 90.00 90.00°
With the nearest neighbours (Å) after each atom.
Fractional coordinates of all 5 atoms:
1 Nb 0.0000 0.5000 0.0000  2 Mo 2.39
2 Ba 0.5000 0.5000 0.5000  8 I 3.75, 4 Nb 4.08
3 I 0.0000 0.0000 0.5000  2 Mo 2.89
4 I 0.5000 0.0000 0.0000  2 Mo 2.89
5 Mo 0.0000 0.0000 0.0000  2 Nb 2.39

---

Among the records above, which one has the lowest ΔE_f (raw)? number 5

---

ΔE_f (raw) of number 5 (BaMoI2N)? -1.8 eV/f.u.

---

Look up the ΔE_f (raw) of the fourth one. 5.6 eV/f.u.